1.
The following is a GGA-PBE calculation of an optimized crystal structure of Ca3Nd2HoSe6, from Alexandria.

CIF file:
```
data_Ca3Nd2HoSe6
_chemical_formula_sum 'Ca3 Nd2 Ho1 Se6'
_space_group_name_H-M_alt 'P 1'
_space_group_IT_number 1
_cell_length_a 7.205
_cell_length_b 7.205
_cell_length_c 7.325
_cell_angle_alpha 99.47
_cell_angle_beta 99.47
_cell_angle_gamma 119.93
loop_
_space_group_symop_operation_xyz
'x,y,z'
loop_
_atom_site_label
_atom_site_fract_x
_atom_site_fract_y
_atom_site_fract_z
_atom_site_occupancy
Ca1 0.000 0.000 0.000 1
Ca2 0.331 0.669 0.000 1
Ca3 0.669 0.331 0.000 1
Nd1 0.166 0.834 0.500 1
Nd2 0.834 0.166 0.500 1
Ho1 0.500 0.500 0.500 1
Se1 0.092 0.416 0.248 1
Se2 0.261 0.261 0.753 1
Se3 0.416 0.092 0.248 1
Se4 0.584 0.908 0.752 1
Se5 0.739 0.739 0.247 1
Se6 0.908 0.584 0.752 1
```

=====

2.
The following is a GGA-PBE calculation of an optimized crystal structure of Ca4NdHo3Se8, from Alexandria.

CIF file:
```
data_Ca4NdHo3Se8
_chemical_formula_sum 'Ca4 Nd1 Ho3 Se8'
_space_group_name_H-M_alt 'P 1'
_space_group_IT_number 1
_cell_length_a 8.344
_cell_length_b 8.344
_cell_length_c 8.344
_cell_angle_alpha 59.16
_cell_angle_beta 59.16
_cell_angle_gamma 59.16
loop_
_space_group_symop_operation_xyz
'x,y,z'
loop_
_atom_site_label
_atom_site_fract_x
_atom_site_fract_y
_atom_site_fract_z
_atom_site_occupancy
Ca1 0.000 0.000 0.000 1
Ca2 0.000 0.500 0.500 1
Ca3 0.500 0.000 0.500 1
Ca4 0.500 0.500 0.000 1
Nd1 0.500 0.500 0.500 1
Ho1 0.000 0.000 0.500 1
Ho2 0.000 0.500 0.000 1
Ho3 0.500 0.000 0.000 1
Se1 0.242 0.753 0.753 1
Se2 0.247 0.247 0.758 1
Se3 0.247 0.758 0.247 1
Se4 0.248 0.248 0.248 1
Se5 0.752 0.752 0.752 1
Se6 0.753 0.242 0.753 1
Se7 0.753 0.753 0.242 1
Se8 0.758 0.247 0.247 1
```

=====

3.
The following is a GGA-PBE calculation of an optimized crystal structure of CaNd3Ho2Se6, from Alexandria.

CIF file:
```
data_CaNd3Ho2Se6
_chemical_formula_sum 'Ca1 Nd3 Ho2 Se6'
_space_group_name_H-M_alt 'P 1'
_space_group_IT_number 1
_cell_length_a 7.139
_cell_length_b 7.139
_cell_length_c 7.335
_cell_angle_alpha 99.29
_cell_angle_beta 99.29
_cell_angle_gamma 120.02
loop_
_space_group_symop_operation_xyz
'x,y,z'
loop_
_atom_site_label
_atom_site_fract_x
_atom_site_fract_y
_atom_site_fract_z
_atom_site_occupancy
Ca1 0.000 0.000 0.000 1
Nd1 0.164 0.836 0.500 1
Nd2 0.500 0.500 0.500 1
Nd3 0.836 0.164 0.500 1
Ho1 0.333 0.667 0.000 1
Ho2 0.667 0.333 0.000 1
Se1 0.079 0.415 0.237 1
Se2 0.258 0.258 0.768 1
Se3 0.415 0.079 0.237 1
Se4 0.585 0.921 0.763 1
Se5 0.742 0.742 0.232 1
Se6 0.921 0.585 0.763 1
```

=====

4.
The following is a GGA-PBE calculation of an optimized crystal structure of Ca2Nd3HoSe6, from Alexandria.

CIF file:
```
data_Ca2Nd3HoSe6
_chemical_formula_sum 'Ca2 Nd3 Ho1 Se6'
_space_group_name_H-M_alt 'P 1'
_space_group_IT_number 1
_cell_length_a 7.195
_cell_length_b 7.195
_cell_length_c 7.360
_cell_angle_alpha 99.39
_cell_angle_beta 99.39
_cell_angle_gamma 120.07
loop_
_space_group_symop_operation_xyz
'x,y,z'
loop_
_atom_site_label
_atom_site_fract_x
_atom_site_fract_y
_atom_site_fract_z
_atom_site_occupancy
Ca1 0.166 0.834 0.000 1
Ca2 0.834 0.166 0.000 1
Nd1 0.000 0.000 0.500 1
Nd2 0.328 0.672 0.500 1
Nd3 0.672 0.328 0.500 1
Ho1 0.500 0.500 0.000 1
Se1 0.092 0.421 0.764 1
Se2 0.252 0.252 0.243 1
Se3 0.421 0.092 0.764 1
Se4 0.579 0.908 0.236 1
Se5 0.748 0.748 0.757 1
Se6 0.908 0.579 0.236 1
```

=====

5.
The following is a GGA-PBE calculation of an optimized crystal structure of CaNd4Ho3Se8, from Alexandria.

CIF file:
```
data_CaNd4Ho3Se8
_chemical_formula_sum 'Ca1 Nd4 Ho3 Se8'
_space_group_name_H-M_alt 'P 1'
_space_group_IT_number 1
_cell_length_a 8.400
_cell_length_b 8.400
_cell_length_c 8.400
_cell_angle_alpha 58.76
_cell_angle_beta 58.76
_cell_angle_gamma 58.76
loop_
_space_group_symop_operation_xyz
'x,y,z'
loop_
_atom_site_label
_atom_site_fract_x
_atom_site_fract_y
_atom_site_fract_z
_atom_site_occupancy
Ca1 0.000 0.000 0.000 1
Nd1 0.000 0.000 0.500 1
Nd2 0.000 0.500 0.000 1
Nd3 0.500 0.000 0.000 1
Nd4 0.500 0.500 0.500 1
Ho1 0.000 0.500 0.500 1
Ho2 0.500 0.000 0.500 1
Ho3 0.500 0.500 0.000 1
Se1 0.246 0.246 0.743 1
Se2 0.246 0.743 0.246 1
Se3 0.256 0.256 0.256 1
Se4 0.257 0.754 0.754 1
Se5 0.743 0.246 0.246 1
Se6 0.744 0.744 0.744 1
Se7 0.754 0.257 0.754 1
Se8 0.754 0.754 0.257 1
```

=====

6.
The following is a GGA-PBE calculation of an optimized crystal structure of CaNdHo2Se4, from Alexandria.

CIF file:
```
data_CaNdHo2Se4
_chemical_formula_sum 'Ca1 Nd1 Ho2 Se4'
_space_group_name_H-M_alt 'P 1'
_space_group_IT_number 1
_cell_length_a 7.159
_cell_length_b 4.107
_cell_length_c 7.186
_cell_angle_alpha 90.00
_cell_angle_beta 109.05
_cell_angle_gamma 90.00
loop_
_space_group_symop_operation_xyz
'x,y,z'
loop_
_atom_site_label
_atom_site_fract_x
_atom_site_fract_y
_atom_site_fract_z
_atom_site_occupancy
Ca1 0.000 0.000 0.000 1
Nd1 0.000 0.500 0.500 1
Ho1 0.500 0.000 0.500 1
Ho2 0.500 0.500 0.000 1
Se1 0.259 0.500 0.249 1
Se2 0.261 0.000 0.759 1
Se3 0.739 0.000 0.241 1
Se4 0.741 0.500 0.751 1
```

=====

It is found that the calculated density values, taken in the order of the records, are 5.6 5.9 6.9 6.1 7.1 6.9 g cm⁻³.
It is found that the electronic total energy values, taken in the order of the records, are -5.3081 -5.2702 -5.6891 -5.5141 -5.7293 -5.5503 eV per atom.